# Ba2Ir3WO12, relaxed, DFT GGA+U
data_Ba2Ir3WO12
_symmetry_space_group_name_H-M 'R -3 m'
_symmetry_Int_Tables_number 166
_symmetry_space_group_name_Hall '-R 3 2"'
_cell_length_a 7.0783
_cell_length_b 7.0783
_cell_length_c 18.1883
_cell_angle_alpha 90.00
_cell_angle_beta 90.00
_cell_angle_gamma 120.00
loop_
_atom_site_label
_atom_site_type_symbol
_atom_site_fract_x
_atom_site_fract_y
_atom_site_fract_z
Ba1 Ba 0.0000 0.0000 0.1172
Ir1 Ir 0.0000 0.5000 0.0000
W1 W 0.0000 0.0000 0.5000
O1 O 0.0569 0.5284 0.3582
O2 O 0.0672 0.5336 0.1085
# Electronic total energy   -372.21 eV per cell
# Density   7.75 g cm⁻³
# Magnetization   0.00 μB/f.u.